Record 1
VASP calculation (PBE) on a relaxed structure of Si2Hg.

Unit cell a=7.291 b=7.291 c=5.539 alpha=67.93 beta=67.93 gamma=27.09
Fractional positions:
Si 0.329 0.329 0.444
Si 0.671 0.671 0.556
Si 0.220 0.220 0.196
Si 0.780 0.780 0.804
Hg 0.975 0.975 0.780
Hg 0.025 0.025 0.220

- formation energy from raw total energies (eV per atom) = 0.394
- E above lowest polymorph (meV per atom) = 81.9

---

Record 2
VASP calculation (PBE) on a relaxed structure of SiHg3.

Unit cell a=8.334 b=8.334 c=3.754 alpha=90.00 beta=90.00 gamma=119.23
Fractional positions:
Si 0.545 0.455 0.250
Si 0.455 0.545 0.750
Hg 0.905 0.095 0.250
Hg 0.535 0.884 0.750
Hg 0.884 0.535 0.250
Hg 0.095 0.905 0.750
Hg 0.116 0.465 0.750
Hg 0.465 0.116 0.250

- formation energy from raw total energies (eV per atom) = 0.175
- E above lowest polymorph (meV per atom) = 0.0

---

Record 3
VASP calculation (PBE) on a relaxed structure of SiHg2.

Unit cell a=12.072 b=12.072 c=3.402 alpha=90.00 beta=90.00 gamma=163.83
Fractional positions:
Hg 0.640 0.360 0.750
Hg 0.947 0.053 0.750
Hg 0.360 0.640 0.250
Hg 0.053 0.947 0.250
Si 0.236 0.764 0.750
Si 0.764 0.236 0.250

- formation energy from raw total energies (eV per atom) = 0.247
- E above lowest polymorph (meV per atom) = 70.2

---

Record 4
VASP calculation (PBE) on a relaxed structure of SiHg2.

Unit cell a=3.420 b=3.420 c=13.800 alpha=90.00 beta=90.00 gamma=120.00
Fractional positions:
Hg 0.667 0.333 0.148
Hg 0.333 0.667 0.648
Hg 0.333 0.667 0.852
Hg 0.667 0.333 0.352
Si 0.000 0.000 0.500
Si 0.000 0.000 0.000

- formation energy from raw total energies (eV per atom) = 0.413
- E above lowest polymorph (meV per atom) = 236.0

---

Record 5
VASP calculation (PBE) on a relaxed structure of SiHg2.

Unit cell a=4.788 b=3.856 c=8.451 alpha=90.00 beta=105.42 gamma=90.00
Fractional positions:
Hg 0.739 0.750 0.981
Hg 0.909 0.250 0.300
Hg 0.261 0.250 0.019
Hg 0.091 0.750 0.700
Si 0.535 0.750 0.583
Si 0.465 0.250 0.417

- formation energy from raw total energies (eV per atom) = 0.177
- E above lowest polymorph (meV per atom) = 0.0

---

Record 6
VASP calculation (PBE) on a relaxed structure of SiHg2.

Unit cell a=6.366 b=6.366 c=6.366 alpha=154.39 beta=142.62 gamma=45.86
Fractional positions:
Si 0.000 0.000 0.000
Hg 0.348 0.348 0.000
Hg 0.652 0.652 0.000

- formation energy from raw total energies (eV per atom) = 0.461
- E above lowest polymorph (meV per atom) = 284.4

---

Question: Number 6 is which compound?
Answer: SiHg2